The following is a PBE-GGA calculation of a relaxed structure of Cs2PaGaO6, from Alexandria via LeMat-Bulk. Values from VASP.

Structure (Quantum ESPRESSO input):
```
&SYSTEM
  ibrav = 0, nat = 10, ntyp = 4
/
ATOMIC_SPECIES
Cs 132.91 Cs.upf
Pa 231.04 Pa.upf
Ga 69.72 Ga.upf
O 16.00 O.upf
ATOMIC_POSITIONS crystal
Cs 0.2500 0.2500 0.2500
Cs 0.7500 0.7500 0.7500
Pa 0.0000 0.0000 0.0000
Ga 0.5000 0.5000 0.5000
O 0.2560 0.2560 0.7440
O 0.2560 0.7440 0.2560
O 0.2560 0.7440 0.7440
O 0.7440 0.2560 0.2560
O 0.7440 0.2560 0.7440
O 0.7440 0.7440 0.2560
CELL_PARAMETERS angstrom
0.0000 4.2854 4.2854
4.2854 0.0000 4.2854
4.2854 4.2854 0.0000
```

Computed properties:
Total magnetization in μB/f.u.: 2.07
SG: Fm-3m, No. 225
Theoretical density in g/cm3: 6.99
E_form (uncorrected) in eV per atom: -1.95
Calculated total energy in eV/atom: -6.3526